# 1
## CsZnGeTeF (PBE)

Data for a relaxed CsZnGeTeF crystal. Values from VASP.

Summary:
M_tot ... 0.00 μB/f.u.
ΔE_f (raw) ... -0.98 eV per atom
Crystal system ... triclinic
Space-group type ... P1 (1)
N(E_F) ... 0.1 states/eV/f.u.

The structure in Quantum ESPRESSO input format:
```
&SYSTEM
  ibrav = 0, nat = 5, ntyp = 5
/
ATOMIC_SPECIES
Cs 132.91 Cs.upf
Zn 65.41 Zn.upf
Ge 72.64 Ge.upf
Te 127.60 Te.upf
F 19.00 F.upf
ATOMIC_POSITIONS angstrom
Cs 0.000 0.000 0.000
Zn 4.234 3.678 5.043
Ge 4.229 2.272 3.056
Te 2.106 5.159 3.705
F 4.232 4.002 6.956
CELL_PARAMETERS angstrom
4.249 0.000 0.000
0.001 4.637 0.000
2.107 1.517 7.681
```

---

# 2
## CsZnGeTeF (PBE)

Data for a relaxed CsZnGeTeF crystal. Values from VASP.

Summary:
M_tot ... 0.00 μB/f.u.
ΔE_f (raw) ... -1.02 eV per atom
Crystal system ... monoclinic
Space-group type ... Cm (8)
N(E_F) ... 0.9 states/eV/f.u.

The structure in Quantum ESPRESSO input format:
```
&SYSTEM
  ibrav = 0, nat = 5, ntyp = 5
/
ATOMIC_SPECIES
Cs 132.91 Cs.upf
Zn 65.41 Zn.upf
Ge 72.64 Ge.upf
Te 127.60 Te.upf
F 19.00 F.upf
ATOMIC_POSITIONS angstrom
Cs 0.000 0.000 0.000
Zn 11.029 0.000 2.698
Ge 3.321 0.000 2.941
Te 5.491 0.000 1.372
F 9.098 0.000 2.114
CELL_PARAMETERS angstrom
8.578 -2.303 0.000
8.578 2.303 0.000
-0.835 0.000 3.885
```

---

# 3
## Cs2TiGeF6 (PBE)

Data for a relaxed Cs2TiGeF6 crystal. Values from VASP.

Summary:
M_tot ... 2.00 μB/f.u.
ΔE_f (raw) ... -2.62 eV per atom
Crystal system ... tetragonal
Space-group type ... I4/mmm (139)
N(E_F) ... 0.0 states/eV/f.u.

The structure in Quantum ESPRESSO input format:
```
&SYSTEM
  ibrav = 0, nat = 10, ntyp = 4
/
ATOMIC_SPECIES
Cs 132.91 Cs.upf
Ti 47.87 Ti.upf
Ge 72.64 Ge.upf
F 19.00 F.upf
ATOMIC_POSITIONS angstrom
Cs 3.615 0.000 2.098
Cs 0.000 3.615 2.098
Ti 0.000 0.000 0.000
Ge 0.000 0.000 4.196
F 1.352 1.352 0.000
F 2.263 -2.263 4.196
F 0.000 0.000 1.951
F 0.000 0.000 6.440
F -2.263 2.263 4.196
F 2.263 2.263 4.196
CELL_PARAMETERS angstrom
-3.615 3.615 4.196
3.615 -3.615 4.196
3.615 3.615 -4.196
```

---

# 4
## CsTlGeF6 (PBE)

Data for a relaxed CsTlGeF6 crystal. Values from VASP.

Summary:
M_tot ... 0.00 μB/f.u.
ΔE_f (raw) ... -2.50 eV per atom
Crystal system ... monoclinic
Space-group type ... C2 (5)
N(E_F) ... 0.0 states/eV/f.u.

The structure in Quantum ESPRESSO input format:
```
&SYSTEM
  ibrav = 0, nat = 9, ntyp = 4
/
ATOMIC_SPECIES
Cs 132.91 Cs.upf
Tl 204.38 Tl.upf
Ge 72.64 Ge.upf
F 19.00 F.upf
ATOMIC_POSITIONS angstrom
Cs 0.000 0.000 0.000
Tl 3.228 -1.872 2.772
Ge 3.228 1.878 2.772
F 1.711 1.875 1.726
F 2.483 3.188 3.829
F 3.974 3.188 1.714
F 2.477 0.571 3.831
F 3.979 0.571 1.712
F 4.745 1.875 3.818
CELL_PARAMETERS angstrom
3.234 -5.636 0.000
3.234 5.636 0.000
-0.011 0.000 5.544
```

---

# 5
## CsTlGe2F6 (PBE)

Data for a relaxed CsTlGe2F6 crystal. Values from VASP.

Summary:
M_tot ... 0.00 μB/f.u.
ΔE_f (raw) ... -2.27 eV per atom
Crystal system ... monoclinic
Space-group type ... C2/c (15)
N(E_F) ... 0.0 states/eV/f.u.

The structure in Quantum ESPRESSO input format:
```
&SYSTEM
  ibrav = 0, nat = 20, ntyp = 4
/
ATOMIC_SPECIES
Cs 132.91 Cs.upf
Tl 204.38 Tl.upf
Ge 72.64 Ge.upf
F 19.00 F.upf
ATOMIC_POSITIONS angstrom
Cs 3.286 4.090 5.635
Cs 4.390 -4.090 1.878
Tl 4.390 0.716 1.878
Tl 3.286 -0.716 5.635
Ge -0.044 1.689 6.145
Ge 1.061 -1.689 2.389
Ge 6.616 1.689 5.124
Ge 7.720 -1.689 1.368
F 2.456 2.866 2.373
F 0.320 0.523 4.737
F 1.425 -0.523 0.981
F 1.762 1.583 6.743
F 6.325 2.866 1.384
F 4.810 1.583 4.526
F 2.866 -1.583 2.987
F 1.351 -2.866 6.129
F 5.914 -1.583 0.770
F 6.252 0.523 6.532
F 7.356 -0.523 2.776
F 5.221 -2.866 5.140
CELL_PARAMETERS angstrom
4.943 -6.105 0.000
4.943 6.105 0.000
-2.209 0.000 7.513
```

---

# 6
## CsTl2GeF8 (PBE)

Data for a relaxed CsTl2GeF8 crystal. Values from VASP.

Summary:
M_tot ... 0.00 μB/f.u.
ΔE_f (raw) ... -2.23 eV per atom
Crystal system ... triclinic
Space-group type ... P-1 (2)
N(E_F) ... 3.0 states/eV/f.u.

The structure in Quantum ESPRESSO input format:
```
&SYSTEM
  ibrav = 0, nat = 12, ntyp = 4
/
ATOMIC_SPECIES
Cs 132.91 Cs.upf
Tl 204.38 Tl.upf
Ge 72.64 Ge.upf
F 19.00 F.upf
ATOMIC_POSITIONS angstrom
Cs 0.000 0.000 0.000
Tl 2.778 2.922 2.008
Tl 2.879 3.874 5.302
Ge 0.079 0.551 3.655
F 0.438 1.847 2.350
F 1.061 4.990 2.712
F 1.585 1.012 4.558
F 2.877 5.231 7.251
F 2.780 1.565 0.059
F 4.072 5.783 2.752
F 4.596 1.806 4.598
F 5.219 4.948 4.960
CELL_PARAMETERS angstrom
5.456 0.000 0.000
0.043 5.694 0.000
0.158 1.101 7.310
```

---

# 7
## Cs2TlGeF8 (PBE)

Data for a relaxed Cs2TlGeF8 crystal. Values from VASP.

Summary:
M_tot ... 1.00 μB/f.u.
ΔE_f (raw) ... -2.26 eV per atom
Crystal system ... trigonal
Space-group type ... P-3m1 (164)
N(E_F) ... 9.8 states/eV/f.u.

The structure in Quantum ESPRESSO input format:
```
&SYSTEM
  ibrav = 0, nat = 12, ntyp = 4
/
ATOMIC_SPECIES
Cs 132.91 Cs.upf
Tl 204.38 Tl.upf
Ge 72.64 Ge.upf
F 19.00 F.upf
ATOMIC_POSITIONS angstrom
Cs 0.000 3.658 2.456
Cs 3.168 1.829 5.136
Tl 0.000 0.000 0.000
Ge 0.000 0.000 3.796
F 0.000 1.493 4.867
F -1.875 4.740 4.867
F 1.293 0.746 2.726
F 0.000 3.658 7.353
F 3.168 1.829 0.239
F 1.875 4.740 4.867
F 5.043 0.746 2.726
F 3.168 3.994 2.726
CELL_PARAMETERS angstrom
6.336 0.000 0.000
-3.168 5.487 0.000
0.000 0.000 7.592
```

---

# 8
## Cs2ZnGeF6 (PBE)

Data for a relaxed Cs2ZnGeF6 crystal. Values from VASP.

Summary:
M_tot ... 0.00 μB/f.u.
ΔE_f (raw) ... -2.43 eV per atom
Crystal system ... cubic
Space-group type ... Fm-3m (225)
N(E_F) ... 0.0 states/eV/f.u.

The structure in Quantum ESPRESSO input format:
```
&SYSTEM
  ibrav = 0, nat = 10, ntyp = 4
/
ATOMIC_SPECIES
Cs 132.91 Cs.upf
Zn 65.41 Zn.upf
Ge 72.64 Ge.upf
F 19.00 F.upf
ATOMIC_POSITIONS angstrom
Cs 2.210 2.210 2.210
Cs 6.629 6.629 6.629
Zn 0.000 0.000 0.000
Ge 4.419 4.419 4.419
F 4.419 4.419 2.121
F 4.419 2.121 4.419
F 6.717 4.419 4.419
F 2.121 4.419 4.419
F 4.419 6.717 4.419
F 4.419 4.419 6.717
CELL_PARAMETERS angstrom
0.000 4.419 4.419
4.419 0.000 4.419
4.419 4.419 0.000
```

---

# 9
## CsZrGe2F (PBE)

Data for a relaxed CsZrGe2F crystal. Values from VASP.

Summary:
M_tot ... 0.00 μB/f.u.
ΔE_f (raw) ... -0.05 eV per atom
Crystal system ... tetragonal
Space-group type ... P4/mmm (123)
N(E_F) ... 3.1 states/eV/f.u.

The structure in Quantum ESPRESSO input format:
```
&SYSTEM
  ibrav = 0, nat = 5, ntyp = 4
/
ATOMIC_SPECIES
Cs 132.91 Cs.upf
Zr 91.22 Zr.upf
Ge 72.64 Ge.upf
F 19.00 F.upf
ATOMIC_POSITIONS angstrom
Cs 0.000 0.000 0.000
Zr 2.837 2.837 0.000
Ge 0.000 2.837 2.075
Ge 2.837 0.000 2.075
F 2.837 2.837 2.075
CELL_PARAMETERS angstrom
5.673 0.000 0.000
0.000 5.673 0.000
0.000 0.000 4.150
```

---

# 10
## CsHF2 (PBE)

Data for a relaxed CsHF2 crystal. Values from VASP.

Summary:
M_tot ... 0.05 μB/f.u.
Total DFT energy (no corrections) ... -4.278 eV per atom
Crystal system ... tetragonal
Space-group type ... I4/mcm (140)
N(E_F) ... 0.0 states/eV/f.u.

The structure in Quantum ESPRESSO input format:
```
&SYSTEM
  ibrav = 0, nat = 8, ntyp = 3
/
ATOMIC_SPECIES
Cs 132.91 Cs.upf
H 1.01 H.upf
F 19.00 F.upf
ATOMIC_POSITIONS angstrom
Cs 0.000 0.000 1.970
Cs 0.000 0.000 5.910
H 3.117 0.000 0.000
H 0.000 3.117 0.000
F 3.933 0.815 0.000
F 0.815 2.302 0.000
F 2.302 0.815 3.940
F -0.815 2.302 3.940
CELL_PARAMETERS angstrom
-3.117 3.117 3.940
3.117 -3.117 3.940
3.117 3.117 -3.940
```

---

# 11
## Cs6H5F2 (PBE)

Data for a relaxed Cs6H5F2 crystal. Values from VASP.

Summary:
M_tot ... 1.02 μB/f.u.
Total DFT energy (no corrections) ... -2.709 eV per atom
Crystal system ... orthorhombic
Space-group type ... Pbam (55)
N(E_F) ... 9.0 states/eV/f.u.

The structure in Quantum ESPRESSO input format:
```
&SYSTEM
  ibrav = 0, nat = 26, ntyp = 3
/
ATOMIC_SPECIES
Cs 132.91 Cs.upf
H 1.01 H.upf
F 19.00 F.upf
ATOMIC_POSITIONS angstrom
Cs 0.518 2.009 0.000
Cs 1.859 10.176 2.255
Cs 2.165 6.150 0.000
Cs 3.945 13.761 0.000
Cs 4.250 2.565 2.255
Cs 5.592 9.620 0.000
Cs 6.627 5.603 0.000
Cs 7.969 12.658 2.255
Cs 8.275 1.462 0.000
Cs 10.054 9.073 0.000
Cs 10.360 5.047 2.255
Cs 11.702 13.214 0.000
H 0.000 7.611 2.255
H 1.164 4.063 2.255
H 2.027 0.228 2.255
H 4.083 7.840 2.255
H 4.945 11.674 2.255
H 6.110 0.000 2.255
H 7.274 3.549 2.255
H 8.136 7.383 2.255
H 10.193 14.995 2.255
H 11.055 11.160 2.255
F 1.912 11.816 0.000
F 4.197 4.204 0.000
F 8.022 11.019 0.000
F 10.307 3.407 0.000
CELL_PARAMETERS angstrom
12.219 0.000 0.000
0.000 15.223 0.000
0.000 0.000 4.511
```

---

# 12
## Cs5H2F3 (PBE)

Data for a relaxed Cs5H2F3 crystal. Values from VASP.

Summary:
M_tot ... 0.00 μB/f.u.
Total DFT energy (no corrections) ... -3.293 eV per atom
Crystal system ... monoclinic
Space-group type ... C2/m (12)
N(E_F) ... 0.0 states/eV/f.u.

The structure in Quantum ESPRESSO input format:
```
&SYSTEM
  ibrav = 0, nat = 10, ntyp = 3
/
ATOMIC_SPECIES
Cs 132.91 Cs.upf
H 1.01 H.upf
F 19.00 F.upf
ATOMIC_POSITIONS angstrom
Cs 0.000 0.000 0.000
Cs -1.245 0.000 3.796
Cs 3.481 0.000 1.777
Cs 5.686 0.000 7.413
Cs 10.413 0.000 5.394
H 0.395 0.000 6.735
H 8.773 0.000 2.455
F -3.959 0.000 8.011
F 4.584 0.000 4.595
F 13.127 0.000 1.179
CELL_PARAMETERS angstrom
7.878 -2.188 0.000
7.878 2.188 0.000
-6.588 0.000 9.190
```